[1]
# SrAl2Se

A PBEsol-optimized structure of SrAl2Se (meta-GGA SCAN, Alexandria).

Properties
Size of the total moment, Bohr magnetons per cell: 0.0

a b c (Å): 8.241 8.241 5.963
angles (deg): 90.00 90.00 90.00
Space group I-42d (No. 122)
Inequivalent atoms, fractional coordinates:
Sr 0.000 0.000 0.000
Al 0.202 0.750 0.625
Se 0.000 0.000 0.500

***

[2]
# SrAl2Se

A PBEsol-optimized structure of SrAl2Se (meta-GGA SCAN, Alexandria).

Properties
Size of the total moment, Bohr magnetons per cell: 0.0

a b c (Å): 5.768 6.904 5.107
angles (deg): 90.00 90.00 90.00
Space group Cmmm (No. 65)
Inequivalent atoms, fractional coordinates:
Sr 0.000 0.000 0.000
Al 0.000 0.312 0.500
Se 0.000 0.500 0.000

***

no.,mass density (Mg/m³),E_tot (eV/atom)
1,3.62,-14.75
2,3.60,-14.91